First-principles (PBE with a Hubbard U) data for a geometry-optimized K2ZrFeP3O12 structure, as listed in Alexandria via LeMat-Bulk.

Structure (extended XYZ):
```
76
Lattice="-0.692 -2.434 -9.900 -7.678 -6.403 2.111 -6.707 7.582 -1.395" Properties=species:S:1:pos:R:3 pbc="T T T"
K -0.755 -0.063 -0.460
K -11.294 -3.007 -3.216
K -7.899 -2.422 -8.871
K -10.207 2.983 -5.820
K -12.270 -1.021 -7.474
K -4.009 -0.483 -6.838
K -7.140 2.740 -2.138
K -6.734 -3.746 -1.918
Zr -5.055 -0.421 -3.079
Zr -10.820 1.675 -1.393
Zr -7.978 -5.717 -5.047
Zr -6.302 1.952 -8.848
Fe -9.122 -0.759 -5.556
Fe -4.357 -3.911 -8.173
Fe -7.082 5.152 -4.937
Fe -9.594 -2.991 0.299
P -4.073 1.441 -0.249
P -12.262 0.335 -4.319
P -6.977 -5.925 -8.423
P -1.769 0.555 -3.911
P -6.842 1.640 -5.377
P -9.635 0.810 -8.696
P -12.374 -1.258 -0.201
P -6.377 -2.617 -5.559
P -3.095 -2.739 -1.284
P -8.083 4.899 -8.087
P -8.511 -0.832 -2.299
P -10.466 -3.838 -6.697
O -2.681 2.060 -0.490
O -13.101 -0.910 -3.963
O -6.139 -4.685 -8.795
O -0.760 -0.441 -3.302
O -8.233 1.024 -5.120
O -10.587 2.006 -8.489
O -11.435 -2.464 -0.404
O -7.373 -1.610 -6.172
O -2.672 -2.128 0.068
O -8.304 4.995 -6.563
O -8.923 -1.456 -3.649
O -10.256 -3.921 -8.223
O -7.682 -3.410 0.855
O -6.839 3.135 -5.045
O -4.677 -2.165 -9.166
O -5.849 5.113 -3.320
O -10.956 -0.070 -5.011
O -5.368 -3.091 -6.610
O -9.437 -4.525 -1.029
O -9.501 -0.008 -7.408
O -2.679 -3.052 -7.408
O -8.617 4.798 -3.649
O -10.054 -2.462 -6.166
O -8.805 -1.793 -1.144
O -4.726 1.000 -1.589
O -11.982 1.197 -3.056
O -7.061 -6.098 -6.880
O -3.198 -0.057 -3.954
O -6.386 1.391 -6.842
O -8.245 1.286 -9.204
O -11.588 0.081 -0.291
O -7.124 -3.820 -4.918
O -4.291 -1.960 -1.898
O -6.952 3.887 -8.422
O -9.215 0.537 -2.081
O -9.696 -4.974 -5.966
O -6.979 -0.546 -2.257
O -10.284 3.371 -2.503
O -0.922 -1.312 -7.280
O -5.761 0.983 -4.466
O -11.969 -4.023 -6.327
O -5.738 0.045 -9.511
O -5.631 -4.795 0.927
O -13.024 1.258 -5.317
O -5.547 -1.959 -4.415
O -5.346 5.117 -0.895
O -10.185 -0.163 -9.783
O -9.075 -5.505 -3.274
```

D(E_F) = 0.00 states/eV/f.u.
DFT total energy = -138.011 eV per formula unit
magnetic moment = 20.5 Bohr magnetons per cell